[1]
First-principles (PBE) data for a relaxed ScCuAsOs crystal, as listed in the Open Quantum Materials Database.

Output
size of the total moment	0.0	μB/f.u.
energy relative to the lowest polymorph listed for this composition	187.6	meV/atom
DFT total energy	-6.33	eV/atom

Cell lengths 6.325, 6.325, 6.325 Å; angles 90.00, 90.00, 90.00 degrees
Space group F-43m (No. 216)
Unique sites:
Sc1 0.000 0.000 0.000 (multiplicity 4)
Cu1 0.000 0.000 0.500 (multiplicity 4)
As1 0.250 0.250 0.250 (multiplicity 4)
Os1 0.250 0.250 0.750 (multiplicity 4)

[2]
First-principles (PBE) data for a relaxed CuSiAsOs crystal, as listed in the Open Quantum Materials Database.

Output
size of the total moment	0.0	μB/f.u.
energy relative to the lowest polymorph listed for this composition	0.0	meV/atom
DFT total energy	-5.98	eV/atom

Cell lengths 6.075, 6.075, 6.075 Å; angles 90.00, 90.00, 90.00 degrees
Space group F-43m (No. 216)
Unique sites:
Cu1 0.000 0.000 0.000 (multiplicity 4)
Si1 0.250 0.250 0.250 (multiplicity 4)
As1 0.250 0.250 0.750 (multiplicity 4)
Os1 0.000 0.000 0.500 (multiplicity 4)

[3]
First-principles (PBE) data for a relaxed CuSiAsOs crystal, as listed in the Open Quantum Materials Database.

Output
size of the total moment	0.0	μB/f.u.
energy relative to the lowest polymorph listed for this composition	239.0	meV/atom
DFT total energy	-5.74	eV/atom

Cell lengths 6.137, 6.137, 6.137 Å; angles 90.00, 90.00, 90.00 degrees
Space group F-43m (No. 216)
Unique sites:
Cu1 0.000 0.000 0.000 (multiplicity 4)
Si1 0.000 0.000 0.500 (multiplicity 4)
As1 0.250 0.250 0.250 (multiplicity 4)
Os1 0.250 0.250 0.750 (multiplicity 4)

[4]
First-principles (PBE) data for a relaxed CuSnAsOs crystal, as listed in the Open Quantum Materials Database.

Output
size of the total moment	0.0	μB/f.u.
energy relative to the lowest polymorph listed for this composition	0.0	meV/atom
DFT total energy	-5.47	eV/atom

Cell lengths 6.412, 6.412, 6.412 Å; angles 90.00, 90.00, 90.00 degrees
Space group F-43m (No. 216)
Unique sites:
Cu1 0.000 0.000 0.000 (multiplicity 4)
Sn1 0.250 0.250 0.250 (multiplicity 4)
As1 0.250 0.250 0.750 (multiplicity 4)
Os1 0.000 0.000 0.500 (multiplicity 4)

[5]
First-principles (PBE) data for a relaxed CuTcAsOs crystal, as listed in the Open Quantum Materials Database.

Output
size of the total moment	0.0	μB/f.u.
energy relative to the lowest polymorph listed for this composition	0.0	meV/atom
DFT total energy	-7.06	eV/atom

Cell lengths 6.134, 6.134, 6.134 Å; angles 90.00, 90.00, 90.00 degrees
Space group F-43m (No. 216)
Unique sites:
Cu1 0.000 0.000 0.000 (multiplicity 4)
Tc1 0.000 0.000 0.500 (multiplicity 4)
As1 0.250 0.250 0.750 (multiplicity 4)
Os1 0.250 0.250 0.250 (multiplicity 4)

[6]
First-principles (PBE) data for a relaxed YCuAsOs crystal, as listed in the Open Quantum Materials Database.

Output
size of the total moment	0.1	μB/f.u.
energy relative to the lowest polymorph listed for this composition	192.7	meV/atom
DFT total energy	-6.22	eV/atom

Cell lengths 6.578, 6.578, 6.578 Å; angles 90.00, 90.00, 90.00 degrees
Space group F-43m (No. 216)
Unique sites:
Y1 0.000 0.000 0.000 (multiplicity 4)
Cu1 0.000 0.000 0.500 (multiplicity 4)
As1 0.250 0.250 0.250 (multiplicity 4)
Os1 0.250 0.250 0.750 (multiplicity 4)

[7]
First-principles (PBE) data for a relaxed YCuAsOs crystal, as listed in the Open Quantum Materials Database.

Output
size of the total moment	0.0	μB/f.u.
energy relative to the lowest polymorph listed for this composition	0.0	meV/atom
DFT total energy	-6.41	eV/atom

Cell lengths 6.504, 6.504, 6.504 Å; angles 90.00, 90.00, 90.00 degrees
Space group F-43m (No. 216)
Unique sites:
Y1 0.000 0.000 0.000 (multiplicity 4)
Cu1 0.250 0.250 0.750 (multiplicity 4)
As1 0.000 0.000 0.500 (multiplicity 4)
Os1 0.250 0.250 0.250 (multiplicity 4)

[8]
First-principles (PBE) data for a relaxed ZnCuAsOs crystal, as listed in the Open Quantum Materials Database.

Output
size of the total moment	0.0	μB/f.u.
energy relative to the lowest polymorph listed for this composition	0.0	meV/atom
DFT total energy	-4.87	eV/atom

Cell lengths 6.112, 6.112, 6.112 Å; angles 90.00, 90.00, 90.00 degrees
Space group F-43m (No. 216)
Unique sites:
Zn1 0.000 0.000 0.000 (multiplicity 4)
Cu1 0.250 0.250 0.750 (multiplicity 4)
As1 0.000 0.000 0.500 (multiplicity 4)
Os1 0.250 0.250 0.250 (multiplicity 4)

[9]
First-principles (PBE) data for a relaxed ZnCuAsOs crystal, as listed in the Open Quantum Materials Database.

Output
size of the total moment	0.0	μB/f.u.
energy relative to the lowest polymorph listed for this composition	317.5	meV/atom
DFT total energy	-4.55	eV/atom

Cell lengths 6.181, 6.181, 6.181 Å; angles 90.00, 90.00, 90.00 degrees
Space group F-43m (No. 216)
Unique sites:
Zn1 0.000 0.000 0.000 (multiplicity 4)
Cu1 0.000 0.000 0.500 (multiplicity 4)
As1 0.250 0.250 0.250 (multiplicity 4)
Os1 0.250 0.250 0.750 (multiplicity 4)

[10]
First-principles (PBE) data for a relaxed ZrCuAsOs crystal, as listed in the Open Quantum Materials Database.

Output
size of the total moment	0.0	μB/f.u.
energy relative to the lowest polymorph listed for this composition	61.8	meV/atom
DFT total energy	-7.09	eV/atom

Cell lengths 6.358, 6.358, 6.358 Å; angles 90.00, 90.00, 90.00 degrees
Space group F-43m (No. 216)
Unique sites:
Zr1 0.000 0.000 0.000 (multiplicity 4)
Cu1 0.250 0.250 0.250 (multiplicity 4)
As1 0.000 0.000 0.500 (multiplicity 4)
Os1 0.250 0.250 0.750 (multiplicity 4)

[11]
First-principles (PBE) data for a relaxed ZrCuAsOs crystal, as listed in the Open Quantum Materials Database.

Output
size of the total moment	0.0	μB/f.u.
energy relative to the lowest polymorph listed for this composition	228.1	meV/atom
DFT total energy	-6.92	eV/atom

Cell lengths 6.395, 6.395, 6.395 Å; angles 90.00, 90.00, 90.00 degrees
Space group F-43m (No. 216)
Unique sites:
Zr1 0.000 0.000 0.000 (multiplicity 4)
Cu1 0.000 0.000 0.500 (multiplicity 4)
As1 0.250 0.250 0.250 (multiplicity 4)
Os1 0.250 0.250 0.750 (multiplicity 4)

[12]
First-principles (PBE) data for a relaxed ZrCuAsOs crystal, as listed in the Open Quantum Materials Database.

Output
size of the total moment	0.0	μB/f.u.
energy relative to the lowest polymorph listed for this composition	0.0	meV/atom
DFT total energy	-7.15	eV/atom

Cell lengths 6.285, 6.285, 6.285 Å; angles 90.00, 90.00, 90.00 degrees
Space group F-43m (No. 216)
Unique sites:
Zr1 0.000 0.000 0.000 (multiplicity 4)
Cu1 0.250 0.250 0.250 (multiplicity 4)
As1 0.250 0.250 0.750 (multiplicity 4)
Os1 0.000 0.000 0.500 (multiplicity 4)